(1)
# PBE RhAu2Br, relaxed
# formation energy (no corrections)	1.03	eV/f.u.
# calculated density	11.910	Mg/m³
# uncorrected energy	-14.551	eV for the cell shown
data_RhAu2Br
_symmetry_space_group_name_H-M 'P 1'
_symmetry_Int_Tables_number 1
_cell_length_a 3.568
_cell_length_b 3.080
_cell_length_c 7.919
_cell_angle_alpha 67.51
_cell_angle_beta 90.00
_cell_angle_gamma 90.00
loop_
_symmetry_equiv_pos_as_xyz
'x,y,z'
loop_
_atom_site_label
_atom_site_fract_x
_atom_site_fract_y
_atom_site_fract_z
_atom_site_occupancy
Au1 0.500 0.183 0.197 1
Rh1 0.500 0.596 0.778 1
Br1 0.000 0.828 0.541 1
Au2 0.000 0.894 0.983 1



(2)
# PBE RhAu2Br6, relaxed
# formation energy (no corrections)	-1.59	eV/f.u.
# calculated density	5.036	Mg/m³
# uncorrected energy	-51.073	eV for the cell shown
data_RhAu2Br6
_symmetry_space_group_name_H-M 'P 1'
_symmetry_Int_Tables_number 1
_cell_length_a 6.309
_cell_length_b 10.567
_cell_length_c 10.567
_cell_angle_alpha 66.05
_cell_angle_beta 90.13
_cell_angle_gamma 90.13
loop_
_symmetry_equiv_pos_as_xyz
'x,y,z'
loop_
_atom_site_label
_atom_site_fract_x
_atom_site_fract_y
_atom_site_fract_z
_atom_site_occupancy
Br1 0.578 0.997 0.847 1
Br2 0.922 0.153 0.003 1
Rh1 0.750 0.919 0.081 1
Rh2 0.250 0.081 0.919 1
Br3 0.896 0.844 0.323 1
Au1 0.404 0.354 0.062 1
Br4 0.119 0.702 0.666 1
Br5 0.619 0.666 0.702 1
Au2 0.904 0.062 0.354 1
Br6 0.078 0.847 0.997 1
Br7 0.604 0.677 0.156 1
Au3 0.596 0.646 0.938 1
Br8 0.422 0.003 0.153 1
Au4 0.096 0.938 0.646 1
Br9 0.381 0.334 0.298 1
Br10 0.104 0.156 0.677 1
Br11 0.396 0.323 0.844 1
Br12 0.881 0.298 0.334 1